# 1
{"formula": "CeCu4Ge3", "functional": "PBE-GGA", "state": "optimized geometry", "n_ef_per_ev_fu": 7.29, "mass_density_g_cm3": 7.60, "ef_mev_per_atom": -276, "spacegroup": "P4/mmm", "volume_a3_per_atom": 16.714, "magmom_total_mub_per_atom": 0.08, "lattice_angstrom": [[4.1528, 0.0000, 0.0000], [0.0000, 4.1528, 0.0000], [0.0000, 0.0000, 7.7532]], "species": ["Ce", "Cu", "Cu", "Cu", "Cu", "Ge", "Ge", "Ge"], "frac_coords": [[0.0000, 0.0000, 0.0000], [0.0000, 0.5000, 0.3262], [0.0000, 0.5000, 0.6738], [0.5000, 0.0000, 0.3262], [0.5000, 0.0000, 0.6738], [0.0000, 0.0000, 0.5000], [0.5000, 0.5000, 0.1588], [0.5000, 0.5000, 0.8412]]}

# 2
{"formula": "Ce4CuGe8", "functional": "PBE-GGA", "state": "optimized geometry", "n_ef_per_ev_fu": 17.78, "mass_density_g_cm3": 7.09, "ef_mev_per_atom": -566, "spacegroup": "Pmm2", "volume_a3_per_atom": 21.725, "magmom_total_mub_per_atom": 0.13, "lattice_angstrom": [[4.0451, 0.0000, 0.0000], [0.0000, 4.1905, 0.0000], [0.0000, 0.0000, 16.6611]], "species": ["Ce", "Ce", "Ce", "Ce", "Cu", "Ge", "Ge", "Ge", "Ge", "Ge", "Ge", "Ge", "Ge"], "frac_coords": [[0.0000, 0.0000, 0.0000], [0.0000, 0.5000, 0.4910], [0.5000, 0.0000, 0.7891], [0.5000, 0.5000, 0.2813], [0.0000, 0.5000, 0.7101], [0.0000, 0.0000, 0.3354], [0.0000, 0.0000, 0.6304], [0.0000, 0.5000, 0.1395], [0.0000, 0.5000, 0.8539], [0.5000, 0.0000, 0.1421], [0.5000, 0.0000, 0.4331], [0.5000, 0.5000, 0.6285], [0.5000, 0.5000, 0.9484]]}

# 3
{"formula": "Ce2Cu3Ge3", "functional": "PBE-GGA", "state": "optimized geometry", "n_ef_per_ev_fu": 13.42, "mass_density_g_cm3": 7.53, "ef_mev_per_atom": -432, "spacegroup": "Amm2", "volume_a3_per_atom": 18.984, "magmom_total_mub_per_atom": 0.18, "lattice_angstrom": [[4.1808, 0.0000, 0.0000], [0.0000, 2.0774, 8.7431], [0.0000, -2.0774, 8.7431]], "species": ["Ce", "Ce", "Cu", "Cu", "Cu", "Ge", "Ge", "Ge"], "frac_coords": [[0.0000, 0.0000, 0.0000], [0.5000, 0.2089, 0.2089], [0.0000, 0.3608, 0.3608], [0.0000, 0.7800, 0.7800], [0.5000, 0.5768, 0.5768], [0.0000, 0.6420, 0.6420], [0.5000, 0.4422, 0.4422], [0.5000, 0.8499, 0.8499]]}

# 4
{"formula": "Ce5Cu3Ge3", "functional": "PBE-GGA", "state": "optimized geometry", "n_ef_per_ev_fu": 21.03, "mass_density_g_cm3": 8.04, "ef_mev_per_atom": -32, "spacegroup": "P-62m", "volume_a3_per_atom": 20.818, "magmom_total_mub_per_atom": 0.27, "lattice_angstrom": [[9.2242, 0.0000, 0.0000], [-4.6121, 7.9884, 0.0000], [0.0000, 0.0000, 3.1077]], "species": ["Ce", "Ce", "Ce", "Ce", "Ce", "Cu", "Cu", "Cu", "Ge", "Ge", "Ge"], "frac_coords": [[0.0000, 0.6462, 0.0000], [0.3333, 0.6667, 0.0000], [0.3538, 0.3538, 0.0000], [0.6462, 0.0000, 0.0000], [0.6667, 0.3333, 0.0000], [0.0000, 0.1527, 0.0000], [0.1527, 0.0000, 0.0000], [0.8473, 0.8473, 0.0000], [0.0000, 0.3617, 0.5000], [0.3617, 0.0000, 0.5000], [0.6383, 0.6383, 0.5000]]}

# 5
{"formula": "Ce3Cu2Ge6", "functional": "PBE-GGA", "state": "optimized geometry", "n_ef_per_ev_fu": 15.58, "mass_density_g_cm3": 6.93, "ef_mev_per_atom": -408, "spacegroup": "I4/mmm", "volume_a3_per_atom": 21.425, "magmom_total_mub_per_atom": 0.17, "lattice_angstrom": [[-2.0755, 2.0755, 13.6782], [2.0755, -2.0755, 13.6782], [2.0755, 2.0755, -13.6782]], "species": ["Ce", "Ce", "Ce", "Cu", "Cu", "Ge", "Ge", "Ge", "Ge", "Ge", "Ge"], "frac_coords": [[0.0000, 0.0000, 0.0000], [0.1690, 0.1690, 0.0000], [0.8310, 0.8310, 0.0000], [0.3617, 0.3617, 0.0000], [0.6383, 0.6383, 0.0000], [0.0824, 0.5824, 0.5000], [0.2735, 0.2735, 0.0000], [0.4176, 0.9176, 0.5000], [0.5824, 0.0824, 0.5000], [0.7265, 0.7265, 0.0000], [0.9176, 0.4176, 0.5000]]}

# 6
{"formula": "CeCuGe3", "functional": "PBE-GGA", "state": "optimized geometry", "n_ef_per_ev_fu": 6.06, "mass_density_g_cm3": 7.11, "ef_mev_per_atom": -401, "spacegroup": "Cmmm", "volume_a3_per_atom": 19.689, "magmom_total_mub_per_atom": 0.16, "lattice_angstrom": [[2.1345, -10.8463, 0.0000], [2.1345, 10.8463, 0.0000], [0.0000, 0.0000, 4.2523]], "species": ["Ce", "Ce", "Cu", "Cu", "Ge", "Ge", "Ge", "Ge", "Ge", "Ge"], "frac_coords": [[0.1675, 0.8325, 0.0000], [0.8325, 0.1675, 0.0000], [0.3885, 0.6115, 0.5000], [0.6115, 0.3885, 0.5000], [0.0572, 0.9428, 0.5000], [0.2800, 0.7200, 0.5000], [0.4429, 0.5571, 0.0000], [0.5571, 0.4429, 0.0000], [0.7200, 0.2800, 0.5000], [0.9428, 0.0572, 0.5000]]}